1.
A relaxed BaDy2O4 crystal. Source: OQMD, functional PBE.

Output
Space-group type   Pnma
Calculated volume   434.9 Å³ per cell
Energy relative to the lowest polymorph listed for this composition   0.0 meV per atom

Lattice parameters (Å, degrees): 10.3892 3.4598 12.1003 90.00 90.00 90.00
Fractional coordinates of all 28 atoms:
Dy: 0.0771 0.7500 0.1097
O: 0.4304 0.2500 0.9252
O: 0.9304 0.2500 0.5748
Dy: 0.5771 0.7500 0.3903
O: 0.6167 0.2500 0.5175
O: 0.5696 0.7500 0.0748
O: 0.4821 0.7500 0.7179
Dy: 0.5755 0.7500 0.8893
O: 0.0179 0.2500 0.2179
O: 0.3833 0.7500 0.4825
O: 0.5179 0.2500 0.2821
Dy: 0.4229 0.2500 0.6097
Dy: 0.0755 0.7500 0.6107
O: 0.7104 0.2500 0.8397
Ba: 0.7474 0.7500 0.6492
Dy: 0.4245 0.2500 0.1107
O: 0.7896 0.7500 0.3397
Ba: 0.2526 0.2500 0.3508
Dy: 0.9229 0.2500 0.8903
O: 0.2896 0.7500 0.1603
O: 0.9821 0.7500 0.7821
O: 0.0696 0.7500 0.4252
O: 0.8833 0.7500 0.0175
Dy: 0.9245 0.2500 0.3893
Ba: 0.7526 0.2500 0.1492
O: 0.1167 0.2500 0.9825
O: 0.2104 0.2500 0.6603
Ba: 0.2474 0.7500 0.8508

2.
A relaxed BaDyPO crystal. Source: OQMD, functional PBE.

Output
Space-group type   Pmc2_1
Calculated volume   230.1 Å³ per cell
Energy relative to the lowest polymorph listed for this composition   0.0 meV per atom

Lattice parameters (Å, degrees): 4.6088 7.5771 6.5904 90.00 90.00 90.00
Fractional coordinates of all 8 atoms:
Ba: 0.0000 0.7003 0.4444
O: 0.5000 0.8737 0.3564
O: 0.5000 0.1263 0.8564
P: 0.0000 0.7191 0.9285
Dy: 0.5000 0.1194 0.5247
Dy: 0.5000 0.8806 0.0247
Ba: 0.0000 0.2997 0.9444
P: 0.0000 0.2809 0.4285

3.
A relaxed BaDyPO crystal. Source: OQMD, functional PBE.

Output
Space-group type   P4/nmm
Calculated volume   187.4 Å³ per cell
Energy relative to the lowest polymorph listed for this composition   252.3 meV per atom

Lattice parameters (Å, degrees): 5.5236 5.5236 6.1413 90.00 90.00 90.00
Fractional coordinates of all 8 atoms:
P: 0.5000 0.0000 0.4992
Ba: 0.5000 0.0000 0.9995
Ba: 0.0000 0.5000 0.0005
O: 0.5000 0.5000 0.0000
Dy: 0.5000 0.5000 0.5000
O: 0.0000 0.0000 0.0000
P: 0.0000 0.5000 0.5008
Dy: 0.0000 0.0000 0.5000

4.
A relaxed BaDyPO crystal. Source: OQMD, functional PBE.

Output
Space-group type   P4/nmm
Calculated volume   226.0 Å³ per cell
Energy relative to the lowest polymorph listed for this composition   444.4 meV per atom

Lattice parameters (Å, degrees): 4.7609 4.7609 9.9690 90.00 90.00 90.00
Fractional coordinates of all 8 atoms:
P: 0.7500 0.7500 0.3119
Dy: 0.7500 0.7500 0.0509
Ba: 0.7500 0.2500 0.5000
P: 0.2500 0.2500 0.6881
Dy: 0.2500 0.2500 0.9491
Ba: 0.2500 0.7500 0.5000
O: 0.2500 0.7500 0.0000
O: 0.7500 0.2500 0.0000

5.
A relaxed BaDyPO crystal. Source: OQMD, functional PBE.

Output
Space-group type   P4/nmm
Calculated volume   227.0 Å³ per cell
Energy relative to the lowest polymorph listed for this composition   507.5 meV per atom

Lattice parameters (Å, degrees): 4.9682 4.9682 9.1958 90.00 90.00 90.00
Fractional coordinates of all 8 atoms:
Ba: 0.2500 0.2500 0.0956
Ba: 0.7500 0.7500 0.9044
O: 0.2500 0.7500 0.0000
P: 0.2500 0.2500 0.6196
P: 0.7500 0.7500 0.3804
O: 0.7500 0.2500 0.0000
Dy: 0.7500 0.2500 0.5000
Dy: 0.2500 0.7500 0.5000

6.
A relaxed BaDyPO crystal. Source: OQMD, functional PBE.

Output
Space-group type   Pmc2_1
Calculated volume   207.5 Å³ per cell
Energy relative to the lowest polymorph listed for this composition   179.6 meV per atom

Lattice parameters (Å, degrees): 4.0290 6.9308 7.4317 90.00 90.00 90.00
Fractional coordinates of all 8 atoms:
Ba: 0.0000 0.9414 0.0961
Dy: 0.5000 0.6117 0.4577
P: 0.5000 0.2517 0.3123
Ba: 0.0000 0.0586 0.5961
P: 0.5000 0.7483 0.8123
O: 0.0000 0.7262 0.3880
O: 0.0000 0.2738 0.8880
Dy: 0.5000 0.3883 0.9577

7.
A relaxed Ba13Dy8Zn4Pt4O37 crystal. Source: OQMD, functional PBE.

Output
E   -0.2426 hartree per atom
Space-group type   I4/m
Calculated volume   1000.1 Å³ per cell

Lattice parameters (Å, degrees): 13.5218 13.5218 13.5218 92.57 92.57 155.55
Fractional coordinates of all 66 atoms:
Ba: 0.0000 0.0000 0.0000
O: 0.2196 0.5243 0.2340
Pt: 0.7997 0.4624 0.2621
O: 0.5850 0.1453 0.2158
O: 0.5716 0.9814 0.0556
O: 0.2903 0.9856 0.7660
Pt: 0.5376 0.7997 0.3373
Ba: 0.6076 0.9836 0.5913
Ba: 0.4367 0.6364 0.0731
O: 0.0614 0.8763 0.9377
O: 0.3025 0.5820 0.8844
Dy: 0.3785 0.8156 0.1941
O: 0.9814 0.9258 0.4098
Dy: 0.6929 0.7621 0.4549
Ba: 0.5633 0.3636 0.9269
Ba: 0.7973 0.0731 0.8704
Ba: 0.9836 0.3924 0.3760
O: 0.0186 0.0742 0.5902
Zn: 0.1014 0.7811 0.8825
O: 0.6308 0.4150 0.5603
Dy: 0.6215 0.1844 0.8059
Ba: 0.2027 0.9269 0.1296
Dy: 0.2379 0.6929 0.9308
O: 0.1453 0.9295 0.5603
O: 0.4180 0.3025 0.7205
O: 0.0705 0.6308 0.2158
O: 0.9856 0.2196 0.6953
Zn: 0.8986 0.2189 0.1175
O: 0.4840 0.4284 0.4098
Ba: 0.0164 0.6076 0.6240
Dy: 0.8156 0.6215 0.4371
Pt: 0.2003 0.5376 0.7379
Ba: 0.3636 0.4367 0.8003
O: 0.5243 0.2903 0.3047
O: 0.4284 0.0186 0.9444
O: 0.5165 0.1017 0.6182
O: 0.5820 0.6975 0.2795
O: 0.7804 0.4757 0.7660
O: 0.4150 0.8547 0.7842
Ba: 0.6364 0.5633 0.1997
O: 0.3692 0.5850 0.4397
Ba: 0.9269 0.7973 0.7242
O: 0.9295 0.3692 0.7842
O: 0.1237 0.0614 0.1851
Dy: 0.7621 0.3071 0.0692
O: 0.8983 0.5165 0.4148
O: 0.9386 0.1237 0.0623
Ba: 0.0731 0.2027 0.2758
O: 0.5000 0.5000 0.0000
O: 0.6975 0.4180 0.1156
O: 0.9258 0.5160 0.9444
Dy: 0.1844 0.3785 0.5629
O: 0.0144 0.7804 0.3047
O: 0.0742 0.4840 0.0556
O: 0.8763 0.9386 0.8149
O: 0.8547 0.0705 0.4397
Zn: 0.2189 0.1014 0.3203
O: 0.4757 0.7097 0.6953
O: 0.5160 0.5716 0.5902
O: 0.4835 0.8983 0.3818
O: 0.1017 0.4835 0.5852
Pt: 0.4624 0.2003 0.6627
O: 0.7097 0.0144 0.2340
Ba: 0.3924 0.0164 0.4087
Dy: 0.3071 0.2379 0.5451
Zn: 0.7811 0.8986 0.6797

8.
A relaxed Ba2DyTeO6 crystal. Source: OQMD, functional PBE.

Output
E   -0.2385 hartree per atom
Space-group type   R-3m
Calculated volume   321.4 Å³ per cell

Lattice parameters (Å, degrees): 10.7279 10.7279 10.7279 32.75 32.75 32.75
Fractional coordinates of all 20 atoms:
Te: 0.5000 0.5000 0.5000
Ba: 0.7228 0.7228 0.7228
O: 0.6176 0.6176 0.1299
O: 0.8701 0.3824 0.3824
O: 0.8122 0.8122 0.2660
O: 0.3824 0.3824 0.8701
Dy: 0.5959 0.5959 0.5959
O: 0.7340 0.1878 0.1878
O: 0.1299 0.6176 0.6176
Ba: 0.2772 0.2772 0.2772
Dy: 0.4041 0.4041 0.4041
Ba: 0.1351 0.1351 0.1351
O: 0.6176 0.1299 0.6176
Te: 0.0000 0.0000 0.0000
Ba: 0.8649 0.8649 0.8649
O: 0.8122 0.2660 0.8122
O: 0.1878 0.1878 0.7340
O: 0.1878 0.7340 0.1878
O: 0.3824 0.8701 0.3824
O: 0.2660 0.8122 0.8122

9.
A relaxed BaPrDy crystal. Source: OQMD, functional PBE.

Output
E   -0.1084 hartree per atom
Space-group type   F-43m
Calculated volume   142.6 Å³ per cell

Lattice parameters (Å, degrees): 5.8648 5.8648 5.8648 60.00 60.00 60.00
Fractional coordinates of all 3 atoms:
Dy: 0.7500 0.7500 0.7500
Pr: 0.0000 0.0000 0.0000
Ba: 0.2500 0.2500 0.2500

10.
A relaxed BaDyPt crystal. Source: OQMD, functional PBE.

Output
Space-group type   F-43m
Calculated volume   88.2 Å³ per cell
Energy relative to the lowest polymorph listed for this composition   820.5 meV per atom

Lattice parameters (Å, degrees): 4.9964 4.9964 4.9964 60.00 60.00 60.00
Fractional coordinates of all 3 atoms:
Pt: 0.7500 0.7500 0.7500
Ba: 0.0000 0.0000 0.0000
Dy: 0.2500 0.2500 0.2500

11.
A relaxed BaDyPt crystal. Source: OQMD, functional PBE.

Output
Space-group type   F-43m
Calculated volume   96.3 Å³ per cell
Energy relative to the lowest polymorph listed for this composition   0.0 meV per atom

Lattice parameters (Å, degrees): 5.1441 5.1441 5.1441 60.00 60.00 60.00
Fractional coordinates of all 3 atoms:
Dy: 0.7500 0.7500 0.7500
Pt: 0.0000 0.0000 0.0000
Ba: 0.2500 0.2500 0.2500

12.
A relaxed RbBaDy crystal. Source: OQMD, functional PBE.

Output
Space-group type   F-43m
Calculated volume   202.7 Å³ per cell
Energy relative to the lowest polymorph listed for this composition   0.0 meV per atom

Lattice parameters (Å, degrees): 6.5931 6.5931 6.5931 60.00 60.00 60.00
Last column: magnetic moment on the atom in μB.
Fractional coordinates of all 3 atoms:
Rb: 0.7500 0.7500 0.7500  0.02
Ba: 0.2500 0.2500 0.2500  0.12
Dy: 0.0000 0.0000 0.0000  0.54